1.
Below is a relaxed structure of KVCu2, with properties calculated at the PBE level.

For the formation energy, the calculation gives 0.9974 eV/atom. The value obtained for the relative energy among the computed polymorphs is 0.007 eV/atom.

It has space group I-42d (No. 122), with a = 7.601 Å, b = 7.601 Å, c = 6.382 Å, α = 90.00°, β = 90.00° and γ = 90.00°. The asymmetric unit holds K at (0.000, 0.000, 0.000), V at (0.000, 0.000, 0.500) and Cu at (0.186, 0.250, 0.625).



2.
Below is a relaxed structure of Si3Br, with properties calculated at the PBE level.

The value obtained for the relative energy among the computed polymorphs is 0.227 eV/atom.

It has space group P6_3/mmc (No. 194), with a = 7.4421 Å, b = 7.4421 Å, c = 6.6692 Å, α = 90.00°, β = 90.00° and γ = 120.00°. The asymmetric unit holds Si at (0.0000, 0.5000, 0.0000), Si at (0.2135, 0.4270, 0.2500), Br at (0.0000, 0.0000, 0.0000) and Br at (0.3333, 0.6667, 0.7500).



3.
Below is a relaxed structure of MgTaH, with properties calculated at the PBE level.

The value obtained for the relative energy among the computed polymorphs is 0.598 eV/atom.

It has space group P4/nmm (No. 129, origin choice 2), with a = 3.645 Å, b = 3.645 Å, c = 6.343 Å, α = 90.00°, β = 90.00° and γ = 90.00°. The asymmetric unit holds Mg at (0.250, 0.750, 0.000), Ta at (0.250, 0.250, 0.404) and H at (0.250, 0.250, 0.707).



4.
Below is a relaxed structure of Zr2RuCl, with properties calculated at the PBE level.

The value obtained for the relative energy among the computed polymorphs is 0.179 eV/atom.

It has space group R-3m (No. 166, hexagonal axes), with a = 3.7416 Å, b = 3.7416 Å, c = 21.5511 Å, α = 90.00°, β = 90.00° and γ = 120.00°. The asymmetric unit holds Zr at (0.0000, 0.0000, 0.2340), Ru at (0.0000, 0.0000, 0.5000) and Cl at (0.0000, 0.0000, 0.0000).



M_tot? In order: 0.9129; 0.0000; 0.0000; 0.0004 μB/atom.
Calculated density? In order: 3912; 3409; 8128; 6082 kg/m3.
Calculated total energy? In order: -57.68; -64.00; -30.35; -90.87 eV per cell.